{"formula": "Pm4CuSb2", "functional": "PBE", "state": "relaxed", "space_group": "I4/mmm, No. 139", "mass_density_g_cm3": 6.70, "raw_formation_energy_ev_per_atom": -0.498, "lattice": [[-4.308, 1.878, -2.084], [-2.741, -3.634, 2.391], [2.554, 5.918, 6.393]], "species": ["Sb", "Sb", "Pm", "Pm", "Pm", "Pm", "Cu"], "fractional_positions": [[0.635, 0.635, 0.270], [0.365, 0.365, 0.730], [0.825, 0.825, 0.651], [0.500, 0.000, 0.000], [0.175, 0.175, 0.349], [0.000, 0.500, 0.000], [0.000, 0.000, 0.000]]}


{"formula": "PmCu2Sb", "functional": "PBE", "state": "relaxed", "space_group": "P4/mmm, No. 123", "mass_density_g_cm3": 8.03, "raw_formation_energy_ev_per_atom": -0.242, "lattice": [[4.242, 0.000, 0.000], [0.000, 4.383, 0.000], [0.000, 0.000, 4.383]], "species": ["Pm", "Cu", "Cu", "Sb"], "fractional_positions": [[0.500, 0.000, 0.000], [0.000, 0.000, 0.500], [0.000, 0.500, 0.000], [0.500, 0.500, 0.500]]}


{"formula": "PmCuSb2", "functional": "PBE", "state": "relaxed", "space_group": "P4/mmm, No. 123", "mass_density_g_cm3": 7.85, "relative_energy_ev_per_atom": 0.267, "raw_formation_energy_ev_per_atom": -0.402, "lattice": [[-4.257, -0.271, 0.759], [0.829, -0.073, 4.624], [-0.276, 4.688, 0.124]], "species": ["Cu", "Sb", "Sb", "Pm"], "fractional_positions": [[0.500, 0.000, 0.000], [0.000, 0.500, 0.000], [0.000, 0.000, 0.500], [0.500, 0.500, 0.500]]}


{"formula": "PmCuSb", "functional": "PBE", "state": "relaxed", "space_group": "P3m1, No. 156", "mass_density_g_cm3": 7.79, "relative_energy_ev_per_atom": 0.000, "raw_formation_energy_ev_per_atom": -0.736, "lattice": [[-2.061, 2.004, -3.112], [-3.731, -1.945, 1.219], [1.128, 3.859, 1.739]], "species": ["Cu", "Sb", "Pm"], "fractional_positions": [[0.831, 0.000, 0.000], [0.835, 0.667, 0.333], [0.334, 0.333, 0.667]]}